[1]
Material: HPdAu
Method: DFT, PBE
State: optimized geometry

CIF file:
```
data_HPdAu
_chemical_formula_sum 'H1 Pd1 Au1'
_cell_length_a 2.9706
_cell_length_b 3.0201
_cell_length_c 5.0064
_cell_angle_alpha 73.26
_cell_angle_beta 73.03
_cell_angle_gamma 61.78
_space_group_name_H-M_alt 'P 1'
_space_group_IT_number 1
loop_
_space_group_symop_operation_xyz
'x,y,z'
loop_
_atom_site_label
_atom_site_type_symbol
_atom_site_fract_x
_atom_site_fract_y
_atom_site_fract_z
_atom_site_occupancy
H1 H 0.0000 0.0000 0.0000 1
Pd1 Pd 0.6327 0.6216 0.0998 1
Au1 Au 0.1391 0.1250 0.5800 1
```

- space group = P1, No. 1
- relative energy among the computed polymorphs (meV per atom) = 0
- VASP energy (Ha/atom) = -0.1467
- ρ (g/cm³) = 13.57

=====

[2]
Material: InPtN2
Method: DFT, PBE
State: optimized geometry

CIF file:
```
data_InPtN2
_chemical_formula_sum 'In1 Pt1 N2'
_cell_length_a 6.5549
_cell_length_b 6.5549
_cell_length_c 6.5549
_cell_angle_alpha 28.93
_cell_angle_beta 28.93
_cell_angle_gamma 28.93
_space_group_name_H-M_alt 'P 1'
_space_group_IT_number 1
loop_
_space_group_symop_operation_xyz
'x,y,z'
loop_
_atom_site_label
_atom_site_type_symbol
_atom_site_fract_x
_atom_site_fract_y
_atom_site_fract_z
_atom_site_occupancy
In1 In 0.0000 0.0000 0.0000 1
Pt1 Pt 0.5000 0.5000 0.5000 1
N1 N 0.3995 0.3995 0.3995 1
N2 N 0.6005 0.6005 0.6005 1
```

- uncorrected formation energy (eV/f.u.) = 2.9
- space group = R-3m, No. 166
- VASP energy (Ha/atom) = -0.2068
- ρ (g/cm³) = 9.63

=====

[3]
Material: Sm2SbRh2
Method: DFT, PBE
State: optimized geometry

CIF file:
```
data_Sm2SbRh2
_chemical_formula_sum 'Sm2 Sb1 Rh2'
_cell_length_a 5.6183
_cell_length_b 5.6183
_cell_length_c 5.6183
_cell_angle_alpha 133.05
_cell_angle_beta 116.92
_cell_angle_gamma 82.22
_space_group_name_H-M_alt 'P 1'
_space_group_IT_number 1
loop_
_space_group_symop_operation_xyz
'x,y,z'
loop_
_atom_site_label
_atom_site_type_symbol
_atom_site_fract_x
_atom_site_fract_y
_atom_site_fract_z
_atom_site_occupancy
Sm1 Sm 0.2035 0.2035 0.0000 1
Sm2 Sm 0.7965 0.7965 0.0000 1
Sb1 Sb 0.5000 0.0000 0.5000 1
Rh1 Rh 0.2292 0.5000 0.7292 1
Rh2 Rh 0.7708 0.5000 0.2708 1
```

- uncorrected formation energy (eV/f.u.) = -4.4
- space group = Immm, No. 71
- VASP energy (Ha/atom) = -0.2400
- ρ (g/cm³) = 9.37

=====

[4]
Material: Cs2BeTcAu
Method: DFT, PBE
State: optimized geometry

CIF file:
```
data_Cs2BeTcAu
_chemical_formula_sum 'Cs2 Be1 Tc1 Au1'
_cell_length_a 6.6710
_cell_length_b 6.6710
_cell_length_c 4.6296
_cell_angle_alpha 90.00
_cell_angle_beta 90.00
_cell_angle_gamma 90.00
_space_group_name_H-M_alt 'P 1'
_space_group_IT_number 1
loop_
_space_group_symop_operation_xyz
'x,y,z'
loop_
_atom_site_label
_atom_site_type_symbol
_atom_site_fract_x
_atom_site_fract_y
_atom_site_fract_z
_atom_site_occupancy
Cs1 Cs 0.0000 0.5000 0.0000 1
Cs2 Cs 0.5000 0.0000 0.0000 1
Be1 Be 0.0000 0.0000 0.5000 1
Tc1 Tc 0.0000 0.0000 0.0000 1
Au1 Au 0.5000 0.5000 0.5000 1
```

- space group = P4/mmm, No. 123
- VASP energy (Ha/atom) = -0.1033
- ρ (g/cm³) = 4.59
- energy of formation (kJ/mol of atoms) = 96.8

=====

[5]
Material: Pr3HoMg8
Method: DFT, PBE
State: optimized geometry

CIF file:
```
data_Pr3HoMg8
_chemical_formula_sum 'Pr3 Ho1 Mg8'
_cell_length_a 10.5867
_cell_length_b 10.5867
_cell_length_c 10.5867
_cell_angle_alpha 33.66
_cell_angle_beta 33.66
_cell_angle_gamma 33.66
_space_group_name_H-M_alt 'P 1'
_space_group_IT_number 1
loop_
_space_group_symop_operation_xyz
'x,y,z'
loop_
_atom_site_label
_atom_site_type_symbol
_atom_site_fract_x
_atom_site_fract_y
_atom_site_fract_z
_atom_site_occupancy
Pr1 Pr 0.0000 0.0000 0.0000 1
Pr2 Pr 0.1254 0.1254 0.1254 1
Pr3 Pr 0.6242 0.6242 0.6242 1
Ho1 Ho 0.4999 0.4999 0.4999 1
Mg1 Mg 0.0620 0.0620 0.5607 1
Mg2 Mg 0.0620 0.5607 0.0620 1
Mg3 Mg 0.0648 0.5625 0.5625 1
Mg4 Mg 0.3125 0.3125 0.3125 1
Mg5 Mg 0.5607 0.0620 0.0620 1
Mg6 Mg 0.5625 0.0648 0.5625 1
Mg7 Mg 0.5625 0.5625 0.0648 1
Mg8 Mg 0.8123 0.8123 0.8123 1
```

- space group = R3m, No. 160
- VASP energy (Ha/atom) = -0.1006
- ρ (g/cm³) = 4.00
- energy of formation (kJ/mol of atoms) = -9.5

=====

[6]
Material: RbTcSbSe2
Method: DFT, PBE
State: optimized geometry

CIF file:
```
data_RbTcSbSe2
_chemical_formula_sum 'Rb1 Tc1 Sb1 Se2'
_cell_length_a 5.2030
_cell_length_b 5.2030
_cell_length_c 5.1602
_cell_angle_alpha 90.00
_cell_angle_beta 90.00
_cell_angle_gamma 90.00
_space_group_name_H-M_alt 'P 1'
_space_group_IT_number 1
loop_
_space_group_symop_operation_xyz
'x,y,z'
loop_
_atom_site_label
_atom_site_type_symbol
_atom_site_fract_x
_atom_site_fract_y
_atom_site_fract_z
_atom_site_occupancy
Rb1 Rb 0.0000 0.0000 0.0000 1
Tc1 Tc 0.5000 0.5000 0.5000 1
Sb1 Sb 0.5000 0.5000 0.0000 1
Se1 Se 0.0000 0.5000 0.5000 1
Se2 Se 0.5000 0.0000 0.5000 1
```

- uncorrected formation energy (eV/f.u.) = -0.1
- space group = P4/mmm, No. 123
- VASP energy (Ha/atom) = -0.1655
- ρ (g/cm³) = 5.51

=====

[7]
Material: MgMoBr2
Method: DFT, PBE
State: optimized geometry

CIF file:
```
data_MgMoBr2
_chemical_formula_sum 'Mg1 Mo1 Br2'
_cell_length_a 3.6861
_cell_length_b 3.4062
_cell_length_c 8.3832
_cell_angle_alpha 90.00
_cell_angle_beta 102.47
_cell_angle_gamma 90.00
_space_group_name_H-M_alt 'P 1'
_space_group_IT_number 1
loop_
_space_group_symop_operation_xyz
'x,y,z'
loop_
_atom_site_label
_atom_site_type_symbol
_atom_site_fract_x
_atom_site_fract_y
_atom_site_fract_z
_atom_site_occupancy
Mg1 Mg 0.0000 0.0000 0.0000 1
Mo1 Mo 0.4193 0.5000 0.8351 1
Br1 Br 0.3056 0.0000 0.6039 1
Br2 Br 0.5838 0.5000 0.1694 1
```

- uncorrected formation energy (eV/f.u.) = -0.5
- space group = Pm, No. 6
- relative energy among the computed polymorphs (meV per atom) = 100
- VASP energy (Ha/atom) = -0.1495
- ρ (g/cm³) = 4.52

=====

[8]
Material: TbEr2Hf3N6
Method: DFT, PBE
State: optimized geometry

CIF file:
```
data_TbEr2Hf3N6
_chemical_formula_sum 'Tb1 Er2 Hf3 N6'
_cell_length_a 5.7132
_cell_length_b 5.7132
_cell_length_c 5.7864
_cell_angle_alpha 99.50
_cell_angle_beta 99.50
_cell_angle_gamma 119.95
_space_group_name_H-M_alt 'P 1'
_space_group_IT_number 1
loop_
_space_group_symop_operation_xyz
'x,y,z'
loop_
_atom_site_label
_atom_site_type_symbol
_atom_site_fract_x
_atom_site_fract_y
_atom_site_fract_z
_atom_site_occupancy
Tb1 Tb 0.0000 0.0000 0.0000 1
Er1 Er 0.3332 0.6668 0.0000 1
Er2 Er 0.6668 0.3332 0.0000 1
Hf1 Hf 0.1672 0.8328 0.5000 1
Hf2 Hf 0.5000 0.5000 0.5000 1
Hf3 Hf 0.8328 0.1672 0.5000 1
N1 N 0.0909 0.4277 0.2728 1
N2 N 0.2456 0.2456 0.7267 1
N3 N 0.4277 0.0909 0.2728 1
N4 N 0.5723 0.9091 0.7272 1
N5 N 0.7544 0.7544 0.2733 1
N6 N 0.9091 0.5723 0.7272 1
```

- uncorrected formation energy (eV/f.u.) = -21.7
- space group = C2/m, No. 12
- VASP energy (Ha/atom) = -0.3529
- ρ (g/cm³) = 11.96